First-principles (PBE with a Hubbard U) data for a geometry-optimized SrNiF2 structure, as listed in the Alexandria database.

POSCAR file:
```
SrNiF2
1.0
2.301 0.000 5.951
-1.150 1.992 5.951
-1.150 -1.992 5.951
F Ni Sr
2 1 1
Direct
0.882 0.882 0.882
0.118 0.118 0.118
0.000 0.000 0.000
0.500 0.500 0.500
```

Summary:
- Space-group type: R-3m, No. 166
- Relative energy among the computed polymorphs: 0 meV per atom